First-principles (GGA+U) data for a geometry-optimized KRb3Mn2F9 structure, as listed in Alexandria.

a b c (Å): 6.1942 6.1942 7.8132
angles (deg): 90.00 90.00 120.00
Closest atoms and distances in Å follow each position.
Space group P-3m1 (No. 164)
Inequivalent atoms, fractional coordinates:
K  0.0000  0.0000  0.0000 (multiplicity 1)  6 F 2.51
Rb  0.0000  0.0000  0.5000 (multiplicity 1)  12 F 3.02-3.10
Rb  0.3333  0.6667  0.1599 (multiplicity 2)  12 F 3.12-3.28
Mn  0.3333  0.6667  0.6480 (multiplicity 2)  6 F 2.00-2.13
F  0.0000  0.5000  0.5000 (multiplicity 3)  2 Mn 2.13
F  0.1810  0.3619  0.7955 (multiplicity 6)  1 Mn 2.00

Computed properties:
Total energy = -76.4 eV per formula unit
Volume = 17.31 A^3/atom
N(E_F) = 0.203 states/eV per atom